Entry 1:
First-principles (PBE) data for LaSmAu after structural relaxation, as listed in the Alexandria database.

The structure belongs to space group P3m1 (No. 156); the cell edges are 4.9991, 4.9991 and 3.9948 Å and the angles 90.00°, 90.00° and 120.00°. The distinct sites, in fractional coordinates, are La at (0.0000, 0.0000, 0.0000), Sm at (0.3333, 0.6667, 0.5646) and Au at (0.6667, 0.3333, 0.3403).

Its formation enthalpy at 0 K is -0.40 eV per atom.


Entry 2:
First-principles (PBE) data for Mo2Br3 after structural relaxation, as listed in the Alexandria database.

The structure belongs to space group P-3m1 (No. 164); the cell edges are 4.5640, 4.5640 and 8.4808 Å and the angles 90.00°, 90.00° and 120.00°. The distinct sites, in fractional coordinates, are Mo at (0.3333, 0.6667, 0.0329), Br at (0.0000, 0.0000, 0.0000) and Br at (0.3333, 0.6667, 0.3210).

The energy relative to the elements, uncorrected comes out at 6.41 kcal/mol of atoms.


Entry 3:
First-principles (PBE) data for Pm6GeRu2Br3 after structural relaxation, as listed in the Alexandria database.

The structure belongs to space group C2/m (No. 12); the cell edges are 7.2106, 12.5069 and 8.0322 Å and the angles 90.00°, 107.54° and 90.00°. The distinct sites, in fractional coordinates, are Pm at (0.2145, 0.0000, 0.1993), Pm at (0.2416, 0.3239, 0.1992), Ge at (0.0000, 0.5000, 0.0000), Ru at (0.0000, 0.1667, 0.0000), Br at (0.0000, 0.0000, 0.5000) and Br at (0.0000, 0.3357, 0.5000).

The energy relative to the elements, uncorrected comes out at -20.52 kcal/mol of atoms.


Number 1: total DFT energy (no corrections) -4.70 eV/atom. Number 2: total DFT energy (no corrections) -5.06 eV/atom. Number 3: total DFT energy (no corrections) -5.61 eV/atom.